Entry 1:
Computed, not measured: a relaxed structure of KTlPb2 at the GGA-PBE level of DFT.

Magnetization (μB per formula unit): 0.00
Calculated volume (Å³ per cell): 135.66
ΔE to the lowest computed polymorph (eV/f.u.): 0.42
E_form (eV/atom): 0.01
N(E_F) (states/eV per atom): 0.642
VASP energy (eV/cell): -10.8

Cell: 3.7508 3.7508 9.6426 Å, 90.00 90.00 90.13°
Positions (direct):
1 K 0.0000 0.0000 0.0000
2 Tl 0.0000 0.0000 0.5000
3 Pb 0.5000 0.5000 0.2801
4 Pb 0.5000 0.5000 0.7199

Entry 2:
Computed, not measured: a relaxed structure of KTlPb2 at the GGA-PBE level of DFT.

Magnetization (μB per formula unit): 0.00
Calculated volume (Å³ per cell): 137.50
ΔE to the lowest computed polymorph (eV/f.u.): 0.48
E_form (eV/atom): 0.02
N(E_F) (states/eV per atom): 1.135
VASP energy (eV/cell): -10.8

Cell: 11.5181 11.5181 11.5181 Å, 18.72 18.72 18.72°
Positions (direct):
1 K 0.0000 0.0000 0.0000
2 Tl 0.5000 0.5000 0.5000
3 Pb 0.2428 0.2428 0.2428
4 Pb 0.7572 0.7572 0.7572

Entry 3:
Computed, not measured: a relaxed structure of KTlPb2 at the GGA-PBE level of DFT.

Magnetization (μB per formula unit): 0.00
Calculated volume (Å³ per cell): 138.02
ΔE to the lowest computed polymorph (eV/f.u.): 0.26
E_form (eV/atom): -0.03
N(E_F) (states/eV per atom): 0.584
VASP energy (eV/cell): -11.0

Cell: 6.9308 6.9308 6.9308 Å, 148.28 127.20 62.92°
Positions (direct):
1 K 0.0000 0.0000 0.0000
2 Tl 0.7281 0.2281 0.5000
3 Pb 0.2697 0.7697 0.5000
4 Pb 0.4882 0.4882 0.0000

Entry 4:
Computed, not measured: a relaxed structure of K2TlPb6 at the GGA-PBE level of DFT.

Magnetization (μB per formula unit): 0.00
Calculated volume (Å³ per cell): 350.42
E_form (eV/atom): -0.05
N(E_F) (states/eV per atom): 0.560
VASP energy (eV/cell): -27.3

Cell: 7.9135 7.9135 7.9135 Å, 60.00 60.00 60.00°
Positions (direct):
1 K 0.2500 0.2500 0.2500
2 K 0.7500 0.7500 0.7500
3 Tl 0.0000 0.0000 0.0000
4 Pb 0.2929 0.2929 0.7071
5 Pb 0.2929 0.7071 0.2929
6 Pb 0.2929 0.7071 0.7071
7 Pb 0.7071 0.2929 0.2929
8 Pb 0.7071 0.2929 0.7071
9 Pb 0.7071 0.7071 0.2929

Entry 5:
Computed, not measured: a relaxed structure of KTlPb at the GGA-PBE level of DFT.

Magnetization (μB per formula unit): 0.00
Calculated volume (Å³ per cell): 102.84
ΔE to the lowest computed polymorph (eV/f.u.): 0.15
E_form (eV/atom): -0.12
N(E_F) (states/eV per atom): 0.435
VASP energy (eV/cell): -7.5

Cell: 7.9318 7.9318 7.9318 Å, 152.98 152.98 38.59°
Positions (direct):
1 K 0.0000 0.0000 0.0000
2 Tl 0.3236 0.3236 0.0000
3 Pb 0.6827 0.6827 0.0000

Entry 6:
Computed, not measured: a relaxed structure of K2Tl16Pb at the GGA-PBE level of DFT.

Magnetization (μB per formula unit): 0.00
Calculated volume (Å³ per cell): 634.98
E_form (eV/atom): -0.02
N(E_F) (states/eV per atom): 0.534
VASP energy (eV/cell): -44.2

Cell: 8.6782 8.6782 8.6782 Å, 81.74 81.74 81.74°
Positions (direct):
1 K 0.0000 0.0000 0.0000
2 K 0.3306 0.3306 0.3306
3 Tl 0.0171 0.0171 0.5410
4 Tl 0.0171 0.5410 0.0171
5 Tl 0.1821 0.6552 0.6552
6 Tl 0.2986 0.2986 0.8478
7 Tl 0.2986 0.8478 0.2986
8 Tl 0.3717 0.6695 0.9634
9 Tl 0.3717 0.9634 0.6695
10 Tl 0.5410 0.0171 0.0171
11 Tl 0.5704 0.5704 0.5704
12 Tl 0.6552 0.1821 0.6552
13 Tl 0.6552 0.6552 0.1821
14 Tl 0.6695 0.3718 0.9634
15 Tl 0.6695 0.9634 0.3718
16 Tl 0.8478 0.2986 0.2986
17 Tl 0.9634 0.3718 0.6695
18 Tl 0.9634 0.6695 0.3718
19 Pb 0.7642 0.7642 0.7642

Entry 7:
Computed, not measured: a relaxed structure of KTl3Pb3 at the GGA-PBE level of DFT.

Magnetization (μB per formula unit): 0.00
Calculated volume (Å³ per cell): 623.96
ΔE to the lowest computed polymorph (eV/f.u.): 1.57
E_form (eV/atom): 0.18
N(E_F) (states/eV per atom): 0.757
VASP energy (eV/cell): -36.1

Cell: 8.5451 8.5451 8.5451 Å, 90.00 90.00 90.00°
Positions (direct):
1 K 0.0000 0.0000 0.0000
2 K 0.5000 0.5000 0.5000
3 Tl 0.0000 0.2500 0.5000
4 Tl 0.0000 0.7500 0.5000
5 Tl 0.2500 0.5000 0.0000
6 Tl 0.5000 0.0000 0.2500
7 Tl 0.5000 0.0000 0.7500
8 Tl 0.7500 0.5000 0.0000
9 Pb 0.0000 0.5000 0.2500
10 Pb 0.0000 0.5000 0.7500
11 Pb 0.2500 0.0000 0.5000
12 Pb 0.5000 0.2500 0.0000
13 Pb 0.5000 0.7500 0.0000
14 Pb 0.7500 0.0000 0.5000

Entry 8:
Computed, not measured: a relaxed structure of KTl4Pb6 at the GGA-PBE level of DFT.

Magnetization (μB per formula unit): 0.00
Calculated volume (Å³ per cell): 377.72
E_form (eV/atom): 0.04
N(E_F) (states/eV per atom): 0.355
VASP energy (eV/cell): -32.3

Cell: 9.4714 9.4714 4.8619 Å, 90.00 90.00 120.00°
Positions (direct):
1 K 0.0000 0.0000 0.0000
2 Tl 0.3333 0.6667 0.0000
3 Tl 0.3812 0.1906 0.5000
4 Tl 0.8094 0.1906 0.5000
5 Tl 0.8094 0.6188 0.5000
6 Pb 0.2052 0.4103 0.5000
7 Pb 0.2052 0.7948 0.5000
8 Pb 0.5339 0.0679 0.0000
9 Pb 0.5339 0.4661 0.0000
10 Pb 0.5897 0.7948 0.5000
11 Pb 0.9321 0.4661 0.0000

Question: The highest calculated volume belongs to which entry?
Answer: K2Tl16Pb

What did the sixth record say?
Computed, not measured: a relaxed structure of K2Tl16Pb at the GGA-PBE level of DFT.

Magnetization (μB per formula unit): 0.00
Calculated volume (Å³ per cell): 634.98
E_form (eV/atom): -0.02
N(E_F) (states/eV per atom): 0.534
VASP energy (eV/cell): -44.2

Cell: 8.6782 8.6782 8.6782 Å, 81.74 81.74 81.74°
Positions (direct):
1 K 0.0000 0.0000 0.0000
2 K 0.3306 0.3306 0.3306
3 Tl 0.0171 0.0171 0.5410
4 Tl 0.0171 0.5410 0.0171
5 Tl 0.1821 0.6552 0.6552
6 Tl 0.2986 0.2986 0.8478
7 Tl 0.2986 0.8478 0.2986
8 Tl 0.3717 0.6695 0.9634
9 Tl 0.3717 0.9634 0.6695
10 Tl 0.5410 0.0171 0.0171
11 Tl 0.5704 0.5704 0.5704
12 Tl 0.6552 0.1821 0.6552
13 Tl 0.6552 0.6552 0.1821
14 Tl 0.6695 0.3718 0.9634
15 Tl 0.6695 0.9634 0.3718
16 Tl 0.8478 0.2986 0.2986
17 Tl 0.9634 0.3718 0.6695
18 Tl 0.9634 0.6695 0.3718
19 Pb 0.7642 0.7642 0.7642